Compound: Pr5TmHg6
Source: the Alexandria database
Functional: PBE
Structure: optimized geometry

```
12
Lattice="-1.383 -4.786 2.085 6.178 -3.211 -3.275 3.693 -0.756 7.708" Properties=species:S:1:pos:R:3 pbc="T T T"
Hg 1.523 -5.039 3.431
Hg 6.965 -3.715 3.087
Pr 3.089 -1.606 -1.637
Hg 3.783 -2.060 4.774
Pr 4.600 -5.311 4.847
Pr 3.888 -3.442 1.671
Hg 0.783 -3.159 0.261
Pr 1.542 -3.694 6.532
Hg 4.705 -6.693 1.744
Tm 0.000 0.000 0.000
Hg 4.012 -4.838 -1.451
Pr 0.768 -1.848 3.261
```

Calculated values
E_tot in eV per atom: -2.98
ρ in g cm⁻³: 10.2
SG: Cmmm, No. 65


Compound: MgNiSb3
Source: the Alexandria database
Functional: PBE
Structure: optimized geometry

```
5
Lattice="-3.932 -2.022 -2.873 2.903 -4.298 -0.948 -1.978 -2.289 4.318" Properties=species:S:1:pos:R:3 pbc="T T T"
Sb -1.966 -1.011 -1.436
Sb 1.451 -2.149 -0.474
Ni -1.503 -4.304 0.248
Sb -0.989 -1.144 2.159
Mg 0.000 0.000 0.000
```

Calculated values
E_tot in eV per atom: -2.93
ρ in g cm⁻³: 5.1
Formation energy (no corrections) in eV/atom: 1.020
SG: Pm-3m, No. 221
Energy above the lowest structure with this stoichiometry in meV per atom: 786


Compound: Hf2AgI
Source: the Alexandria database
Functional: PBE
Structure: optimized geometry

```
8
Lattice="-3.183 -2.491 -1.334 2.663 -3.318 -0.157 -2.624 -5.279 9.328" Properties=species:S:1:pos:R:3 pbc="T T T"
Ag -0.260 -2.905 -0.746
Hf 0.609 -3.706 2.066
Hf -2.312 -3.291 1.479
Hf -2.162 -6.139 6.437
Ag -0.111 -5.751 4.213
Hf -2.425 -9.041 5.691
I 0.000 0.000 0.000
I -3.034 -5.337 3.624
```

Calculated values
E_tot in eV per atom: -5.50
ρ in g cm⁻³: 10.2
Formation energy (no corrections) in eV/atom: 0.576
SG: I-42d, No. 122
Energy above the lowest structure with this stoichiometry in meV per atom: 293


Compound: Sm4Bi2H
Source: the Alexandria database
Functional: PBE
Structure: optimized geometry

```
14
Lattice="-6.273 -1.112 1.198 -0.595 -2.947 -5.847 4.994 -7.378 3.211" Properties=species:S:1:pos:R:3 pbc="T T T"
Sm -2.700 -6.666 1.786
Bi 2.773 -8.277 2.041
Bi 0.945 -3.814 -0.022
H -1.293 -4.009 -3.393
Bi -4.646 -3.160 -3.479
H -0.580 -7.428 1.955
Sm 3.389 -9.354 -1.175
Sm 0.585 -5.663 2.788
Bi -2.819 -7.623 -1.416
Sm 0.289 -7.131 -0.125
Sm -5.263 -2.083 -0.263
Sm -2.459 -5.774 -4.226
Sm -2.162 -4.306 -1.313
Sm 0.826 -4.771 -3.224
```

Calculated values
E_tot in eV per atom: -4.92
ρ in g cm⁻³: 8.8
SG: P2_1/m, No. 11
Energy above the lowest structure with this stoichiometry in meV per atom: 21


Compound: Cu6Si7
Source: the Alexandria database
Functional: PBE
Structure: optimized geometry

```
13
Lattice="-4.365 -4.530 -6.880 -1.942 -7.998 -4.378 -6.265 -6.343 -2.725" Properties=species:S:1:pos:R:3 pbc="T T T"
Cu -4.173 -6.264 -4.641
Si -7.453 -10.183 -9.296
Cu -11.931 -17.909 -13.270
Cu -8.399 -12.607 -9.341
Si -6.322 -6.965 -5.930
Cu -0.641 -0.961 -0.712
Cu -2.224 -3.338 -2.473
Si -6.250 -11.906 -8.053
Si -8.397 -11.083 -7.232
Cu -10.348 -15.533 -11.510
Si -6.286 -9.435 -6.991
Si -4.175 -7.787 -6.751
Si -5.119 -8.688 -4.687
```

Calculated values
E_tot in eV per atom: -4.49
ρ in g cm⁻³: 5.2
Formation energy (no corrections) in eV/atom: 0.319
SG: R-3m, No. 166


Compound: HoCu4Ni
Source: the Alexandria database
Functional: PBE
Structure: optimized geometry

```
6
Lattice="0.448 0.554 -4.616 2.606 -3.235 -2.134 -1.927 -6.591 1.760" Properties=species:S:1:pos:R:3 pbc="T T T"
Cu 0.234 -2.348 -1.253
Cu -0.964 -3.296 0.880
Cu 0.564 -4.636 -2.495
Ho 0.224 0.277 -2.308
Ni 0.340 -4.913 -0.187
Cu 0.893 -6.923 -3.737
```

Calculated values
E_tot in eV per atom: -4.43
ρ in g cm⁻³: 8.0
SG: C2/m, No. 12


Compound: Hf2FeAgAs
Source: the Alexandria database
Functional: PBE
Structure: optimized geometry

```
5
Lattice="-0.271 -2.416 4.145 -3.293 -2.338 -1.578 3.114 -3.246 -1.689" Properties=species:S:1:pos:R:3 pbc="T T T"
As -1.646 -1.169 -0.789
Hf 1.557 -1.623 -0.844
Hf -0.135 -1.208 2.072
Fe 0.000 0.000 0.000
Ag -0.225 -4.000 0.439
```

Calculated values
E_tot in eV per atom: -7.01
ρ in g cm⁻³: 9.9
SG: P4/mmm, No. 123


Compound: Ba2TbSb3Rh4
Source: the Alexandria database
Functional: PBE
Structure: optimized geometry

```
10
Lattice="-3.344 2.218 2.249 -2.285 0.562 -3.952 -5.383 -9.849 1.710" Properties=species:S:1:pos:R:3 pbc="T T T"
Sb -6.396 -7.534 2.625
Rh -5.113 -5.187 2.218
Sb -1.802 -0.925 -1.767
Rh 0.000 0.000 0.000
Tb -5.506 -3.534 0.004
Sb -2.691 -4.924 0.855
Ba -2.963 -1.253 1.535
Ba -5.235 -7.206 -0.676
Rh -3.084 -3.271 -1.359
Rh -2.814 1.390 -0.852
```

Calculated values
E_tot in eV per atom: -5.78
ρ in g cm⁻³: 8.4
Formation energy (no corrections) in eV/atom: -0.754
SG: P-4m2, No. 115